1.
VASP calculation (PBE) on a geometry-optimized ScRh3O6 structure.

a b c (Å): 3.2206 6.1463 6.1463
angles (deg): 109.31 90.00 90.00
Last column: nearest neighbours and their distance in Å.
Element x y z (fractional)
O: 0.5000 0.3571 0.6429  2 Rh 2.08, 2 Sc 2.16
O: 0.0000 0.3363 0.0782  3 Rh 1.96-2.04
O: 0.0000 0.9218 0.6637  3 Rh 1.96-2.04
O: 0.0000 0.0782 0.3363  3 Rh 1.96-2.04
O: 0.5000 0.6429 0.3571  2 Rh 2.08, 2 Sc 2.16
O: 0.0000 0.6637 0.9218  3 Rh 1.96-2.04
Sc: 0.0000 0.5000 0.5000  4 O 2.16
Rh: 0.5000 0.5000 0.0000  6 O 2.04-2.08
Rh: 0.5000 0.0000 0.5000  6 O 2.04-2.08
Rh: 0.0000 0.0000 0.0000  4 O 1.96

Output
As for the symmetry: Cmmm (65). The calculation puts the uncorrected formation energy at -1347 meV per atom.

2.
VASP calculation (PBE) on a geometry-optimized LaHo6Sc structure.

a b c (Å): 5.9893 5.9893 9.2063
angles (deg): 89.50 114.62 111.90
Last column: nearest neighbours and their distance in Å.
Element x y z (fractional)
Ho: 0.3005 0.6343 0.9348  5 Ho 3.19-3.45, 1 Sc 3.50
Ho: 0.1521 0.0628 0.7050  1 Sc 3.18, 5 Ho 3.29-3.45, 2 La 3.43-3.45
Ho: 0.6995 0.3657 0.0652  5 Ho 3.19-3.45, 1 Sc 3.50
Ho: 0.3578 0.4471 0.2950  1 Sc 3.18, 5 Ho 3.29-3.45, 2 La 3.43-3.45
Ho: 0.6422 0.5529 0.7050  1 Sc 3.18, 5 Ho 3.29-3.45, 2 La 3.43-3.45
Ho: 0.8479 0.9372 0.2950  1 Sc 3.18, 5 Ho 3.29-3.45, 2 La 3.43-3.45
La: 0.5000 0.0000 0.5000  8 Ho 3.43-3.45
Sc: 0.0000 0.0000 0.0000  6 Ho 3.18-3.50

Output
As for the symmetry: C2/m (12). The energy above the most stable polymorph in this dataset comes out at 348.2 meV/atom. The calculation puts the formation energy from the elements at 304 kJ/mol of formula units.

3.
VASP calculation (PBE) on a geometry-optimized KBa2Bi2 structure.

a b c (Å): 5.9976 5.9976 8.3581
angles (deg): 68.97 68.97 90.00
Last column: nearest neighbours and their distance in Å.
Element x y z (fractional)
Bi: 0.3850 0.3850 0.2299  1 Bi 3.31, 4 Ba 3.57
Bi: 0.6150 0.6150 0.7701  1 Bi 3.31, 4 Ba 3.57
K: 0.0000 0.0000 0.0000  8 Bi 4.55, 8 Ba 4.69
Ba: 0.2500 0.7500 0.5000  4 Bi 3.57
Ba: 0.7500 0.2500 0.5000  4 Bi 3.57

Output
As for the symmetry: I4/mmm (139). The energy above the most stable polymorph in this dataset comes out at 228.5 meV/atom. The calculation puts the formation energy from the elements at -241 kJ/mol of formula units.

4.
VASP calculation (PBE) on a geometry-optimized Ac2La2CoSn2 structure.

a b c (Å): 5.1110 5.1110 9.7160
angles (deg): 105.25 105.25 90.00
Last column: nearest neighbours and their distance in Å.
Element x y z (fractional)
Sn: 0.6359 0.6359 0.2718  5 Ac 3.41-3.68, 4 La 3.54
Sn: 0.3641 0.3641 0.7282  5 Ac 3.41-3.68, 4 La 3.54
Ac: 0.1750 0.1750 0.3499  1 Co 3.16, 1 Sn 3.41
Ac: 0.8250 0.8250 0.6501  1 Co 3.16, 1 Sn 3.41
La: 0.0000 0.5000 0.0000  2 Co 2.56
La: 0.5000 0.0000 0.0000  2 Co 2.56
Co: 0.0000 0.0000 0.0000  4 La 2.56

Output
As for the symmetry: I4/mmm (139). The calculation puts the formation energy from the elements at -360 kJ/mol of formula units.

5.
VASP calculation (PBE) on a geometry-optimized AlTeOs2 structure.

a b c (Å): 3.1128 4.9895 4.3016
angles (deg): 90.00 90.00 90.00
Last column: nearest neighbours and their distance in Å.
Element x y z (fractional)
Os: 0.5000 0.5000 0.0000  4 Al 2.65, 4 Os 2.94
Os: 0.0000 0.0000 0.0000  4 Te 2.65, 4 Os 2.94
Te: 0.5000 0.0000 0.5000  4 Os 2.65, 4 Al 2.94
Al: 0.0000 0.5000 0.5000  4 Os 2.65, 4 Te 2.94

Output
As for the symmetry: Pmmm (47). The energy above the most stable polymorph in this dataset comes out at 425.5 meV/atom. The calculation puts the uncorrected formation energy at 694 meV per atom.

6.
VASP calculation (PBE) on a geometry-optimized Tb6Mn2Tl structure.

a b c (Å): 8.4879 8.4879 8.4879
angles (deg): 107.59 109.62 111.23
Last column: nearest neighbours and their distance in Å.
Element x y z (fractional)
Mn: 0.5000 0.3956 0.8956  1 Mn 2.09
Mn: 0.3897 0.0000 0.3897  1 Mn 2.16
Mn: 0.6103 0.0000 0.6103  1 Mn 2.16
Mn: 0.5000 0.6044 0.1044  1 Mn 2.09
Tb: 0.7073 0.0186 0.3113  3 Mn 2.87-2.95
Tb: 0.9032 0.7121 0.1911  2 Mn 2.95
Tb: 0.4790 0.2879 0.1911  2 Mn 2.95
Tb: 0.2927 0.9814 0.6887  3 Mn 2.87-2.95
Tb: 0.0968 0.2879 0.8089  2 Mn 2.95
Tb: 0.7073 0.3960 0.6887  3 Mn 2.87-2.95
Tb: 0.5210 0.7121 0.8089  2 Mn 2.95
Tb: 0.7809 0.7718 0.5526  1 Mn 2.83, 1 Tl 3.14
Tb: 0.2191 0.7718 0.9909  1 Mn 2.83, 1 Tl 3.14
Tb: 0.2927 0.6040 0.3113  3 Mn 2.87-2.95
Tb: 0.2191 0.2282 0.4474  1 Mn 2.83, 1 Tl 3.14
Tb: 0.7809 0.2282 0.0091  1 Mn 2.83, 1 Tl 3.14
Tl: 0.0000 0.0000 0.0000  8 Tb 3.14-3.33
Tl: 0.0000 0.5000 0.5000  12 Tb 3.38-3.64

Output
As for the symmetry: Immm (71). The calculation puts the formation energy from the elements at -40 kJ/mol of formula units.

The records above yield magnetization values of 1.27, 0.00, 0.00, 0.00, 0.00, 2.18 μB per formula unit, respectively.